No. 1
## Ba2SrCo (meta-GGA SCAN)

Data for a crystal of Ba2SrCo relaxed with PBEsol.

```
Ba2SrCo
1.0
2.9881 -6.7940 0.0000
2.9881 6.7940 0.0000
0.0000 0.0000 4.1779
Ba Sr Co
2 1 1
Direct
0.1490 0.8510 0.0000
0.8510 0.1490 0.0000
0.5000 0.5000 0.5000
0.0000 0.0000 0.5000
```

Computed properties:
Electronic total energy (eV/atom): -29.2325
ΔE to the lowest computed polymorph (eV/atom): 0.054
DOS at the Fermi energy (states/eV/atom): 0.702
Calculated formation energy (meV/atom): 437.5
Crystal system: orthorhombic

=====

No. 2
## Ba2SrCo (meta-GGA SCAN)

Data for a crystal of Ba2SrCo relaxed with PBEsol.

```
Ba2SrCo
1.0
-1.9307 3.0607 6.3215
1.9307 -3.0607 6.3215
1.9307 3.0607 -6.3215
Ba Sr Co
2 1 1
Direct
0.1691 0.1691 0.0000
0.8309 0.8309 0.0000
0.5000 0.0000 0.5000
0.0000 0.5000 0.5000
```

Computed properties:
Electronic total energy (eV/atom): -29.2572
ΔE to the lowest computed polymorph (eV/atom): 0.029
DOS at the Fermi energy (states/eV/atom): 0.792
Calculated formation energy (meV/atom): 412.8
Crystal system: orthorhombic

=====

No. 3
## BaSr3Co (meta-GGA SCAN)

Data for a crystal of BaSr3Co relaxed with PBEsol.

```
BaSr3Co
1.0
5.8993 0.0000 0.0000
0.0000 5.8993 0.0000
0.0000 0.0000 5.8993
Ba Sr Co
1 3 1
Direct
0.0000 0.0000 0.0000
0.0000 0.5000 0.5000
0.5000 0.0000 0.5000
0.5000 0.5000 0.0000
0.5000 0.5000 0.5000
```

Computed properties:
Electronic total energy (eV/atom): -24.4307
DOS at the Fermi energy (states/eV/atom): 0.908
Calculated formation energy (meV/atom): 305.3
Crystal system: cubic

=====

No. 4
## BaSr2Co (meta-GGA SCAN)

Data for a crystal of BaSr2Co relaxed with PBEsol.

```
BaSr2Co
1.0
3.7854 0.0000 0.0000
0.0000 3.7854 0.0000
0.0000 0.0000 10.2731
Ba Sr Co
1 2 1
Direct
0.0000 0.0000 0.0000
0.0000 0.0000 0.3383
0.5000 0.5000 0.6611
0.5000 0.5000 0.1729
```

Computed properties:
Electronic total energy (eV/atom): -25.0476
DOS at the Fermi energy (states/eV/atom): 0.920
Calculated formation energy (meV/atom): 303.6
Crystal system: tetragonal

=====

No. 5
## Ba2SrCo (meta-GGA SCAN)

Data for a crystal of Ba2SrCo relaxed with PBEsol.

```
Ba2SrCo
1.0
-1.9395 3.0763 6.4028
1.9395 -3.0763 6.4028
1.9395 3.0763 -6.4028
Ba Sr Co
2 1 1
Direct
0.0000 0.0000 0.0000
0.6710 0.1710 0.5000
0.3422 0.3422 0.0000
0.1688 0.6688 0.5000
```

Computed properties:
Electronic total energy (eV/atom): -29.2865
ΔE to the lowest computed polymorph (eV/atom): 0.000
DOS at the Fermi energy (states/eV/atom): 1.063
Calculated formation energy (meV/atom): 383.5
Crystal system: orthorhombic

=====

No. 6
## BaTa2Co (meta-GGA SCAN)

Data for a crystal of BaTa2Co relaxed with PBEsol.

```
BaTa2Co
1.0
1.9719 1.1385 7.0694
-1.9719 1.1385 7.0694
0.0000 -2.2769 7.0694
Ba Ta Co
1 2 1
Direct
0.0000 0.0000 0.0000
0.2078 0.2078 0.2078
0.7922 0.7922 0.7922
0.5000 0.5000 0.5000
```

Computed properties:
Electronic total energy (eV/atom): -46.8916
DOS at the Fermi energy (states/eV/atom): 1.027
Calculated formation energy (meV/atom): 613.7
Crystal system: trigonal

=====

No. 7
## Ba2TaCo (meta-GGA SCAN)

Data for a crystal of Ba2TaCo relaxed with PBEsol.

```
Ba2TaCo
1.0
9.5857 -1.6557 0.0000
9.5857 1.6557 0.0000
-0.7128 0.0000 3.6415
Ba Ta Co
2 1 1
Direct
0.1485 0.1485 0.1468
0.8515 0.8515 0.8532
0.0000 0.0000 0.5000
0.5000 0.5000 0.0000
```

Computed properties:
Electronic total energy (eV/atom): -40.1251
ΔE to the lowest computed polymorph (eV/atom): 0.167
DOS at the Fermi energy (states/eV/atom): 1.175
Calculated formation energy (meV/atom): 621.9
Crystal system: monoclinic

=====

No. 8
## Ba2TaCo (meta-GGA SCAN)

Data for a crystal of Ba2TaCo relaxed with PBEsol.

```
Ba2TaCo
1.0
2.0389 1.1771 9.0604
-2.0389 1.1771 9.0604
0.0000 -2.3543 9.0604
Ba Ta Co
2 1 1
Direct
0.0000 0.0000 0.0000
0.1827 0.1827 0.1827
0.4261 0.4261 0.4261
0.7504 0.7504 0.7504
```

Computed properties:
Electronic total energy (eV/atom): -40.2921
ΔE to the lowest computed polymorph (eV/atom): 0.000
DOS at the Fermi energy (states/eV/atom): 0.811
Calculated formation energy (meV/atom): 454.9
Crystal system: trigonal